[1]
Compound: AcTb2Dy6Y
Source: the Alexandria database
Functional: GGA-PBE
Structure: relaxed

Output
Its formation enthalpy at 0 K is 0.127 eV per atom. As for the symmetry: No. 15. For the total moment, the calculation gives 0.0 μB per cell.

a b c (Å): 9.574 8.930 8.930
angles (deg): 118.15 92.80 92.80
Sites, in units of the cell vectors:
Dy1 0.819 0.441 0.982
Dy2 0.617 0.493 0.712
Dy3 0.319 0.982 0.441
Dy4 0.443 0.251 0.870
Dy5 0.383 0.507 0.288
Dy6 0.943 0.870 0.251
Dy7 0.181 0.559 0.018
Dy8 0.557 0.749 0.130
Dy9 0.681 0.018 0.559
Dy10 0.057 0.130 0.749
Dy11 0.117 0.712 0.493
Dy12 0.883 0.288 0.507
Tb1 0.548 0.201 0.316
Tb2 0.048 0.316 0.201
Tb3 0.952 0.684 0.799
Tb4 0.452 0.799 0.684
Ac1 0.250 0.972 0.028
Ac2 0.750 0.028 0.972
Y1 0.250 0.411 0.589
Y2 0.750 0.589 0.411

[2]
Compound: CaCuNiAu2
Source: the Alexandria database
Functional: GGA-PBE
Structure: relaxed

Output
Its formation enthalpy at 0 K is -0.030 eV per atom. As for the symmetry: No. 123. For the total moment, the calculation gives 0.0 μB per cell.

a b c (Å): 4.852 4.491 4.852
angles (deg): 90.00 90.00 90.00
Sites, in units of the cell vectors:
Cu1 0.000 0.500 0.000
Au1 0.000 0.000 0.500
Au2 0.500 0.000 0.000
Ni1 0.000 0.000 0.000
Ca1 0.500 0.500 0.500